(one)
A geometry-optimized Ta2CuH structure. Source: Alexandria, functional PBE.

abc: 6.0286 6.0286 5.8103
angles: 90.00 90.00 90.00
Last column: nearest neighbours and their distance in Å.
Atoms (fractional coordinates):
Ta 0.1771 0.2500 0.1250  2 H 1.98
Ta 0.2500 0.6771 0.3750  2 H 1.98
Ta 0.2500 0.8229 0.8750  2 H 1.98
Ta 0.3229 0.2500 0.6250  2 H 1.98
Ta 0.6771 0.7500 0.6250  2 H 1.98
Ta 0.7500 0.1771 0.8750  2 H 1.98
Ta 0.7500 0.3229 0.3750  2 H 1.98
Ta 0.8229 0.7500 0.1250  2 H 1.98
Cu 0.0000 0.0000 0.5000  8 Ta 2.57-2.86
Cu 0.0000 0.5000 0.7500  8 Ta 2.57-2.86
Cu 0.5000 0.0000 0.2500  8 Ta 2.57-2.86
Cu 0.5000 0.5000 0.0000  8 Ta 2.57-2.86
H 0.0000 0.0000 0.0000  4 Ta 1.98
H 0.0000 0.5000 0.2500  4 Ta 1.98
H 0.5000 0.0000 0.7500  4 Ta 1.98
H 0.5000 0.5000 0.5000  4 Ta 1.98

Space group: I-42d

(two)
A geometry-optimized Ta2CuH structure. Source: Alexandria, functional PBE.

abc: 3.1980 3.1980 21.6733
angles: 90.00 90.00 120.00
Last column: nearest neighbours and their distance in Å.
Atoms (fractional coordinates):
Ta 0.0000 0.0000 0.1225  3 H 2.08
Ta 0.0000 0.0000 0.8775  3 H 2.08
Ta 0.3333 0.6667 0.5442  3 H 2.08
Ta 0.3333 0.6667 0.7892  3 H 2.08
Ta 0.6667 0.3333 0.2108  3 H 2.08
Ta 0.6667 0.3333 0.4558  3 H 2.08
Cu 0.0000 0.0000 0.0000  2 Ta 2.66
Cu 0.3333 0.6667 0.6667  2 Ta 2.66
Cu 0.6667 0.3333 0.3333  2 Ta 2.66
H 0.0000 0.0000 0.5000  6 Ta 2.08
H 0.3333 0.6667 0.1667  6 Ta 2.08
H 0.6667 0.3333 0.8333  6 Ta 2.08

Space group: R-3m

(three)
A geometry-optimized Ta2CuH structure. Source: Alexandria, functional PBE.

abc: 6.0008 6.0008 6.0008
angles: 90.00 90.00 90.00
Last column: nearest neighbours and their distance in Å.
Atoms (fractional coordinates):
Ta 0.2500 0.2500 0.2500  4 H 2.60, 4 Cu 2.60
Ta 0.2500 0.2500 0.7500  4 H 2.60, 4 Cu 2.60
Ta 0.2500 0.7500 0.2500  4 H 2.60, 4 Cu 2.60
Ta 0.2500 0.7500 0.7500  4 H 2.60, 4 Cu 2.60
Ta 0.7500 0.2500 0.2500  4 H 2.60, 4 Cu 2.60
Ta 0.7500 0.2500 0.7500  4 H 2.60, 4 Cu 2.60
Ta 0.7500 0.7500 0.2500  4 H 2.60, 4 Cu 2.60
Ta 0.7500 0.7500 0.7500  4 H 2.60, 4 Cu 2.60
Cu 0.0000 0.0000 0.0000  8 Ta 2.60
Cu 0.0000 0.5000 0.5000  8 Ta 2.60
Cu 0.5000 0.0000 0.5000  8 Ta 2.60
Cu 0.5000 0.5000 0.0000  8 Ta 2.60
H 0.0000 0.0000 0.5000  8 Ta 2.60
H 0.0000 0.5000 0.0000  8 Ta 2.60
H 0.5000 0.0000 0.0000  8 Ta 2.60
H 0.5000 0.5000 0.5000  8 Ta 2.60

Space group: Fm-3m

Which structure is the least stable? The one labeled (two).

(one)
A geometry-optimized TaCu3H structure. Source: Alexandria, functional PBE.

abc: 4.9101 4.9101 4.9101
angles: 90.00 90.00 90.00
Last column: nearest neighbours and their distance in Å.
Atoms (fractional coordinates):
Ta 0.0000 0.0000 0.0000  6 Cu 2.46
Cu 0.0000 0.0000 0.5000  2 Ta 2.46
Cu 0.0000 0.5000 0.0000  2 Ta 2.46
Cu 0.5000 0.0000 0.0000  2 Ta 2.46
H 0.5000 0.5000 0.5000  12 Cu 3.47

Space group: Pm-3m

(two)
A geometry-optimized TaCu3H structure. Source: Alexandria, functional PBE.

abc: 3.8599 3.8599 3.8599
angles: 90.00 90.00 90.00
Last column: nearest neighbours and their distance in Å.
Atoms (fractional coordinates):
Ta 0.0000 0.0000 0.0000  12 Cu 2.73
Cu 0.0000 0.5000 0.5000  2 H 1.93
Cu 0.5000 0.0000 0.5000  2 H 1.93
Cu 0.5000 0.5000 0.0000  2 H 1.93
H 0.5000 0.5000 0.5000  6 Cu 1.93

Space group: Pm-3m

Which structure is the least stable? The one labeled (one).